1.
6
Lattice="3.9774 0.0000 0.0000 0.0000 3.9774 0.0000 0.0000 0.0000 6.8366" Properties=species:S:1:pos:R:3 comment="SmYCo2Si2, optimized geometry, DFT PBE-GGA" m_tot_mub_per_cell=0.551 e_tot_ev_per_cell=-40.60 volume_a3_per_cell=108.15 sg="P4mm (99)" pbc="T T T"
Si 0.0000 0.0000 5.6390
Co 1.9887 0.0000 0.0125
Y 0.0000 0.0000 2.1264
Si 1.9887 1.9887 1.2415
Co 0.0000 1.9887 0.0125
Sm 1.9887 1.9887 4.6414

***

2.
6
Lattice="4.2543 0.0000 0.0000 0.0000 4.2543 0.0000 0.0000 0.0000 6.0260" Properties=species:S:1:pos:R:3 comment="Co2SiSn3, optimized geometry, DFT PBE-GGA" m_tot_mub_per_cell=0.001 e_tot_ev_per_cell=-31.96 volume_a3_per_cell=109.07 sg="P-4m2 (115)" pbc="T T T"
Si 2.1272 2.1272 0.0000
Sn 2.1272 2.1272 3.0130
Sn 0.0000 0.0000 0.0000
Co 2.1272 0.0000 4.6408
Co 0.0000 2.1272 1.3851
Sn 0.0000 0.0000 3.0130

***

3.
6
Lattice="3.9398 0.0000 0.0000 0.0000 3.9398 0.0000 0.0000 0.0000 5.6154" Properties=species:S:1:pos:R:3 comment="Co2Si3Sn, optimized geometry, DFT PBE-GGA" m_tot_mub_per_cell=0.004 e_tot_ev_per_cell=-35.90 volume_a3_per_cell=87.16 sg="P-4m2 (115)" pbc="T T T"
Sn 0.0000 0.0000 2.8077
Si 0.0000 0.0000 0.0000
Si 1.9699 1.9699 0.0000
Si 1.9699 1.9699 2.8077
Co 1.9699 0.0000 1.2569
Co 0.0000 1.9699 4.3585

***

4.
4
Lattice="-1.2066 -4.1586 -1.1295 0.1464 -3.2769 3.0439 -3.8001 -1.7395 1.5995" Properties=species:S:1:pos:R:3 comment="CoSi2Sn, optimized geometry, DFT PBE-GGA" m_tot_mub_per_cell=0.245 e_tot_ev_per_cell=-19.94 volume_a3_per_cell=63.36 sg="F-43m (216)" pbc="T T T"
Co -1.2151 -2.2937 0.8785
Sn -2.4301 -4.5875 1.7570
Si -3.6452 -6.8812 2.6355
Si 0.0000 0.0000 0.0000